A plane-wave DFT calculation with PBE was carried out for a relaxed Ni2S crystal.

volume = 13.9 Å³/atom
total DFT energy (no corrections) = -5.121 eV/atom

Cell: 4.7949 4.7949 3.6262 Å, 90.00 90.00 90.00°
Closest atoms and distances in Å follow each position.
Fractional coordinates of all 6 atoms:
Ni1 0.3190 0.3190 0.0000  3 S 2.16-2.19
Ni2 0.6810 0.6810 0.0000  3 S 2.16-2.19
Ni3 0.8190 0.1810 0.5000  3 S 2.16-2.19
Ni4 0.1810 0.8190 0.5000  3 S 2.16-2.19
S1 0.0000 0.0000 0.0000  6 Ni 2.16-2.19
S2 0.5000 0.5000 0.5000  6 Ni 2.16-2.19